# 1
# HfAl2ReSe

HfAl2ReSe after structural relaxation (PBE, Alexandria via LeMat-Bulk).

Calculated values
Symmetry: P4/mmm, No. 123
E_form (uncorrected) (kJ/mol of atoms): 143

Unit cell a=5.2829 b=5.2829 c=4.9407 alpha=90.00 beta=90.00 gamma=90.00
With the nearest neighbours (Å) after each atom.
Fractional positions:
Hf  0.0000  0.0000  0.0000  2 Se 2.47, 4 Al 2.64
Al  0.0000  0.5000  0.0000  2 Hf 2.64
Al  0.5000  0.0000  0.0000  2 Hf 2.64
Re  0.5000  0.5000  0.5000  8 Al 3.62, 4 Se 3.74
Se  0.0000  0.0000  0.5000  2 Hf 2.47

***

# 2
# MnCd2

MnCd2 after structural relaxation (PBE, Alexandria via LeMat-Bulk).

Calculated values
Symmetry: Fm-3m, No. 225
DFT formation energy (eV/atom): 0.426

Unit cell a=4.5664 b=4.5664 c=4.5664 alpha=60.00 beta=60.00 gamma=60.00
With the nearest neighbours (Å) after each atom.
Fractional positions:
Mn  0.0000  0.0000  0.0000  8 Cd 2.80
Cd  0.2500  0.2500  0.2500  4 Mn 2.80
Cd  0.7500  0.7500  0.7500  4 Mn 2.80

***

# 3
# EuHoAu2

EuHoAu2 after structural relaxation (PBE, Alexandria via LeMat-Bulk).

Calculated values
Symmetry: P4/mmm, No. 123
Energy relative to the lowest polymorph listed for this composition (eV/f.u.): 0.00
DFT formation energy (eV/atom): -0.829

Unit cell a=3.6501 b=3.6501 c=7.3905 alpha=90.00 beta=90.00 gamma=90.00
With the nearest neighbours (Å) after each atom.
Fractional positions:
Eu  0.0000  0.0000  0.0000  8 Au 3.31, 4 Eu 3.65, 2 Ho 3.70
Ho  0.0000  0.0000  0.5000  8 Au 3.05
Au  0.5000  0.5000  0.2810  4 Ho 3.05, 1 Au 3.24, 4 Eu 3.31
Au  0.5000  0.5000  0.7190  4 Ho 3.05, 1 Au 3.24, 4 Eu 3.31

***

# 4
# ThIn2Rh4

ThIn2Rh4 after structural relaxation (PBE, Alexandria via LeMat-Bulk).

Calculated values
Symmetry: I4/mmm, No. 139
DFT formation energy (eV/atom): -0.378

Unit cell a=5.6313 b=5.6313 c=5.6313 alpha=107.77 beta=107.77 gamma=112.93
With the nearest neighbours (Å) after each atom.
Fractional positions:
Th  0.0000  0.0000  0.0000  8 Rh 2.82
In  0.0000  0.5000  0.5000  8 Rh 2.82, 2 In 3.11
In  0.5000  0.0000  0.5000  8 Rh 2.82, 2 In 3.11
Rh  0.0000  0.0000  0.5000  4 In 2.82, 2 Th 2.82, 2 Rh 3.11
Rh  0.0000  0.5000  0.0000  4 In 2.82, 2 Th 2.82, 2 Rh 3.11
Rh  0.5000  0.0000  0.0000  4 In 2.82, 2 Th 2.82, 2 Rh 3.11
Rh  0.5000  0.5000  0.5000  4 In 2.82, 2 Th 2.82, 2 Rh 3.11

***

# 5
# Ce2SmGe

Ce2SmGe after structural relaxation (PBE, Alexandria via LeMat-Bulk).

Calculated values
Symmetry: P2_1/m, No. 11
Energy relative to the lowest polymorph listed for this composition (eV/f.u.): 0.00
DFT formation energy (eV/atom): -0.466

Unit cell a=4.3550 b=4.3008 c=11.2325 alpha=90.00 beta=100.56 gamma=90.00
With the nearest neighbours (Å) after each atom.
Fractional positions:
Ce  0.0134  0.2500  0.1240  2 Ce 2.79
Ce  0.3965  0.2500  0.8785  2 Ce 2.79, 1 Ge 3.09
Ce  0.6035  0.7500  0.1215  2 Ce 2.79, 1 Ge 3.09
Ce  0.9866  0.7500  0.8760  2 Ce 2.79
Sm  0.3010  0.7500  0.6060  5 Ge 3.06-3.17
Sm  0.6990  0.2500  0.3940  5 Ge 3.06-3.17
Ge  0.1779  0.7500  0.3290  5 Sm 3.06-3.17, 4 Ce 3.09-3.23
Ge  0.8221  0.2500  0.6710  5 Sm 3.06-3.17, 4 Ce 3.09-3.23

***

# 6
# MnFePt2

MnFePt2 after structural relaxation (PBE, Alexandria via LeMat-Bulk).

Calculated values
Symmetry: Pmmm, No. 47
DFT formation energy (eV/atom): -0.265

Unit cell a=2.8101 b=3.6665 c=5.6579 alpha=90.00 beta=90.00 gamma=90.00
With the nearest neighbours (Å) after each atom.
Fractional positions:
Mn  0.0000  0.0000  0.0000  8 Pt 2.72, 2 Mn 2.81, 2 Fe 2.83
Fe  0.0000  0.0000  0.5000  8 Pt 2.70, 2 Fe 2.81, 2 Mn 2.83
Pt  0.5000  0.5000  0.2536  4 Fe 2.70, 4 Mn 2.72, 4 Pt 2.79-2.87
Pt  0.5000  0.5000  0.7464  4 Fe 2.70, 4 Mn 2.72, 4 Pt 2.79-2.87

***

no.,calculated volume (Å³/cell)
1,137.9
2,67.3
3,98.5
4,137.1
5,206.8
6,58.3